Below is Sc2TaBe after structural relaxation, with properties calculated at the PBE level.

## Properties
The value obtained for the volume is 17.84 Å³/atom. As for the theoretical density: 6512 kg/m3. As for the density of states at the Fermi level: 0.8272 states/eV per atom. As for the space group: Immm.

Cell: 5.643 5.643 5.643 Å, 147.35 132.07 59.20°
Sites, in units of the cell vectors:
1 Sc 0.212 0.212 0.000
2 Sc 0.788 0.788 0.000
3 Ta 0.500 0.000 0.500
4 Be 0.000 0.500 0.500

Below is TbScBe4 after structural relaxation, with properties calculated at the PBE level.

## Properties
The value obtained for the volume is 13.99 Å³/atom. As for the theoretical density: 4747 kg/m3. As for the density of states at the Fermi level: 0.5575 states/eV per atom. As for the space group: F-43m.

Cell: 4.915 4.915 4.915 Å, 60.00 60.00 60.00°
Sites, in units of the cell vectors:
1 Tb 0.000 0.000 0.000
2 Sc 0.750 0.750 0.750
3 Be 0.377 0.377 0.377
4 Be 0.377 0.377 0.870
5 Be 0.377 0.870 0.377
6 Be 0.870 0.377 0.377

Below is TbSc2Be after structural relaxation, with properties calculated at the PBE level.

## Properties
The value obtained for the volume is 21.95 Å³/atom. As for the theoretical density: 4877 kg/m3. The energy above the most stable polymorph in this dataset comes out at 0 meV per atom. As for the density of states at the Fermi level: 0.9962 states/eV per atom. As for the space group: P4/mmm.

Cell: 3.242 3.242 8.352 Å, 90.00 90.00 90.00°
Sites, in units of the cell vectors:
1 Tb 0.000 0.000 0.000
2 Sc 0.500 0.500 0.315
3 Sc 0.500 0.500 0.685
4 Be 0.000 0.000 0.500

Below is TbScBe after structural relaxation, with properties calculated at the PBE level.

## Properties
The value obtained for the volume is 21.54 Å³/atom. As for the theoretical density: 5472 kg/m3. As for the density of states at the Fermi level: 0.7058 states/eV per atom. As for the space group: I4mm.

Cell: 6.259 6.259 6.259 Å, 149.06 149.06 44.32°
Sites, in units of the cell vectors:
1 Tb 0.000 0.000 0.000
2 Sc 0.273 0.273 0.000
3 Be 0.657 0.657 0.000

Below is TbSc2Be after structural relaxation, with properties calculated at the PBE level.

## Properties
The value obtained for the volume is 24.69 Å³/atom. As for the theoretical density: 4335 kg/m3. The energy above the most stable polymorph in this dataset comes out at 652 meV per atom. As for the density of states at the Fermi level: 1.2723 states/eV per atom. As for the space group: R-3m.

Cell: 11.032 11.032 11.032 Å, 16.88 16.88 16.88°
Sites, in units of the cell vectors:
1 Tb 0.000 0.000 0.000
2 Sc 0.417 0.417 0.417
3 Sc 0.583 0.583 0.583
4 Be 0.500 0.500 0.500

Below is TbScBeZn after structural relaxation, with properties calculated at the PBE level.

## Properties
The value obtained for the volume is 19.60 Å³/atom. As for the theoretical density: 5896 kg/m3. As for the density of states at the Fermi level: 0.9412 states/eV per atom. As for the space group: F-43m.

Cell: 4.804 4.804 4.804 Å, 60.00 60.00 60.00°
Sites, in units of the cell vectors:
1 Tb 0.000 0.000 0.000
2 Sc 0.500 0.500 0.500
3 Be 0.250 0.250 0.250
4 Zn 0.750 0.750 0.750

Below is ScBeTc2 after structural relaxation, with properties calculated at the PBE level.

## Properties
The value obtained for the volume is 14.85 Å³/atom. As for the theoretical density: 6986 kg/m3. As for the density of states at the Fermi level: 0.9409 states/eV per atom. As for the space group: I4/mmm.

Cell: 5.029 5.029 5.029 Å, 136.54 136.54 63.15°
Sites, in units of the cell vectors:
1 Sc 0.000 0.000 0.000
2 Be 0.500 0.500 0.000
3 Tc 0.250 0.750 0.500
4 Tc 0.750 0.250 0.500

Below is Sc2BeTc after structural relaxation, with properties calculated at the PBE level.

## Properties
The value obtained for the volume is 17.08 Å³/atom. As for the theoretical density: 4786 kg/m3. As for the density of states at the Fermi level: 0.8726 states/eV per atom. As for the space group: I-42d.

Cell: 9.850 9.850 9.850 Å, 157.77 157.77 31.64°
Sites, in units of the cell vectors:
1 Sc 0.119 0.625 0.994
2 Sc 0.375 0.369 0.494
3 Sc 0.631 0.125 0.006
4 Sc 0.875 0.881 0.506
5 Be 0.250 0.750 0.500
6 Be 0.500 0.500 0.000
7 Tc 0.000 0.000 0.000
8 Tc 0.750 0.250 0.500

What electronic total energy values result from the calculations? In sequence: -6.86, -4.29, -5.23, -4.84, -4.57, -4.12, -7.58, -6.11 eV/atom.
What formation energy values result from the calculations? In sequence: 0.2047, 0.0217, 0.0282, 0.0583, 0.6805, -0.1278, 0.1143, 0.5772 eV/atom.